This record from Alexandria via LeMat-Bulk describes crystalline PmNd4Sm5 at its relaxed geometry. The functional is PBE.

Lattice parameters (Å, degrees): 3.597 11.304 8.981 90.02 101.96 90.03
Fractional coordinates of all 10 atoms:
Pm1 0.500 0.000 0.000
Sm1 0.175 0.554 0.348
Sm2 0.500 0.500 0.000
Sm3 0.826 0.055 0.652
Sm4 0.825 0.446 0.652
Sm5 0.174 0.945 0.348
Nd1 0.343 0.750 0.693
Nd2 0.965 0.250 0.940
Nd3 0.657 0.250 0.307
Nd4 0.035 0.750 0.060

Properties
* offset from the most stable computed form: 0 meV per atom
* N(E_F): 14.5 states/eV/cell
* calculated formation energy: 0.17 eV per atom



This record from Alexandria via LeMat-Bulk describes crystalline K2PrTmTe4 at its relaxed geometry. The functional is PBE.

Lattice parameters (Å, degrees): 4.551 7.891 8.657 107.62 90.00 90.00
Fractional coordinates of all 8 atoms:
Te1 0.500 0.225 0.208
Te2 0.000 0.251 0.787
Te3 0.000 0.749 0.213
Te4 0.500 0.775 0.792
K1 0.000 0.500 0.500
K2 0.500 0.000 0.500
Pr1 0.500 0.500 0.000
Tm1 0.000 0.000 0.000

Properties
* E_form (uncorrected): -32.03 kcal/mol of atoms



This record from Alexandria via LeMat-Bulk describes crystalline SbTeOs2 at its relaxed geometry. The functional is PBE.

Lattice parameters (Å, degrees): 3.044 3.044 10.612 90.00 90.00 122.07
Fractional coordinates of all 4 atoms:
Sb1 0.000 0.000 0.449
Os1 0.500 0.500 0.225
Os2 0.000 0.000 0.026
Te1 0.500 0.500 0.799

Properties
* offset from the most stable computed form: 474 meV per atom
* N(E_F): 4.2 states/eV/cell
* E_form (uncorrected): 19.98 kcal/mol of atoms